Computed, not measured: a relaxed Sc3BeNb crystal at the PBE level of DFT.

a = 4.7516 Å, b = 4.7516 Å, c = 4.7516 Å
α = 90.00°, β = 90.00°, γ = 90.00°
Closest atoms and distances in Å follow each position.
Fractional coordinates of all 5 atoms:
1 Sc 0.0000 0.0000 0.5000  2 Be 2.38
2 Sc 0.0000 0.5000 0.0000  2 Be 2.38
3 Sc 0.5000 0.0000 0.0000  2 Be 2.38
4 Be 0.0000 0.0000 0.0000  6 Sc 2.38
5 Nb 0.5000 0.5000 0.5000  12 Sc 3.36

Results
For the density of states at the Fermi level, the calculation gives 8.18 states/eV/f.u. As for the total DFT energy (no corrections): -5.9828 eV/atom. The density is 3.66 g/cm3. The value obtained for the energy of formation is 0.575 eV/atom.

=====

Computed, not measured: a relaxed Ho2ScBe3Pt4 crystal at the PBE level of DFT.

a = 3.9897 Å, b = 3.9897 Å, c = 10.5460 Å
α = 90.00°, β = 90.00°, γ = 90.00°
Closest atoms and distances in Å follow each position.
Fractional coordinates of all 10 atoms:
1 Ho 0.0000 0.5000 0.2286  8 Pt 3.05-3.13, 4 Be 3.07
2 Ho 0.5000 0.0000 0.7714  8 Pt 3.05-3.13, 4 Be 3.07
3 Sc 0.0000 0.0000 0.5000  4 Pt 2.63, 4 Be 2.82
4 Be 0.0000 0.5000 0.8859  5 Pt 2.33-2.36
5 Be 0.5000 0.0000 0.1141  5 Pt 2.33-2.36
6 Be 0.5000 0.5000 0.5000  4 Pt 2.63, 4 Sc 2.82
7 Pt 0.0000 0.0000 0.0000  4 Be 2.33
8 Pt 0.0000 0.5000 0.6625  3 Be 2.36-2.63, 2 Sc 2.63
9 Pt 0.5000 0.0000 0.3375  3 Be 2.36-2.63, 2 Sc 2.63
10 Pt 0.5000 0.5000 0.0000  4 Be 2.33

Results
For the density of states at the Fermi level, the calculation gives 4.04 states/eV/f.u. As for the total DFT energy (no corrections): -6.0193 eV/atom. The density is 11.69 g/cm3. The value obtained for the energy of formation is -0.936 eV/atom.

=====

Computed, not measured: a relaxed Nd2Th2Te7 crystal at the PBE level of DFT.

a = 9.7765 Å, b = 9.7765 Å, c = 9.7765 Å
α = 153.56°, β = 67.63°, γ = 119.02°
Closest atoms and distances in Å follow each position.
Fractional coordinates of all 11 atoms:
1 Nd 0.2367 0.0000 0.2367  7 Te 3.13-3.39
2 Nd 0.7633 0.0000 0.7633  7 Te 3.13-3.39
3 Th 0.3104 0.8104 0.5000  8 Te 3.15-3.32
4 Th 0.7625 0.7625 0.0000  7 Te 3.12-3.28
5 Te 0.0204 0.7024 0.3180  3 Nd 3.13-3.23, 1 Th 3.15
6 Te 0.0772 0.0772 0.0000  3 Th 3.12-3.22
7 Te 0.3751 0.4834 0.8917  3 Th 3.28-3.32, 2 Nd 3.37, 1 Te 3.52
8 Te 0.3844 0.7024 0.6820  3 Nd 3.13-3.23, 1 Th 3.15
9 Te 0.5917 0.4834 0.1083  3 Th 3.28-3.32, 2 Nd 3.37, 1 Te 3.52
10 Te 0.6638 0.3013 0.3625  2 Th 3.18, 2 Nd 3.39
11 Te 0.9388 0.3013 0.6375  2 Th 3.18, 2 Nd 3.39

Results
For the density of states at the Fermi level, the calculation gives 1.36 states/eV/f.u. As for the total DFT energy (no corrections): -5.5113 eV/atom. The density is 7.58 g/cm3. The calculation puts the formation energy without anion corrections at -1296 meV/atom.

=====

Computed, not measured: a relaxed RbPmSb crystal at the PBE level of DFT.

a = 7.8935 Å, b = 7.8935 Å, c = 7.8935 Å
α = 148.22°, β = 148.22°, γ = 45.56°
Closest atoms and distances in Å follow each position.
Fractional coordinates of all 3 atoms:
1 Rb 0.0000 0.0000 0.0000  1 Pm 3.82, 1 Sb 4.11
2 Pm 0.2626 0.2626 0.0000  4 Sb 3.13
3 Sb 0.7174 0.7174 0.0000  4 Pm 3.13

Results
For the density of states at the Fermi level, the calculation gives 2.02 states/eV/f.u. As for the total DFT energy (no corrections): -3.7323 eV/atom. The density is 4.30 g/cm3. The calculation puts the formation energy without anion corrections at -452 meV/atom.